# 1
Entry from Alexandria via LeMat-Bulk: ZrOsSe2 after structural relaxation (PBE).

abc: 3.3375 4.1295 5.3780
angles: 90.00 90.00 90.00
With the nearest neighbours (Å) after each atom.
Positions (direct):
Zr 0.0000 0.0000 0.0000  4 Se 2.65
Os 0.5000 0.0000 0.5000  4 Se 2.65
Se 0.0000 0.5000 0.5000  4 Os 2.65
Se 0.5000 0.5000 0.0000  4 Zr 2.65

Total magnetization in μB per atom: 0.000
SG: Pmmm, No. 47

***

# 2
Entry from Alexandria via LeMat-Bulk: BSbC2 after structural relaxation (PBE).

abc: 3.9366 3.9366 3.9366
angles: 60.00 60.00 60.00
With the nearest neighbours (Å) after each atom.
Positions (direct):
B 0.0000 0.0000 0.0000  8 C 2.41
Sb 0.5000 0.5000 0.5000  8 C 2.41
C 0.2500 0.2500 0.2500  4 Sb 2.41, 4 B 2.41
C 0.7500 0.7500 0.7500  4 Sb 2.41, 4 B 2.41

Total magnetization in μB per atom: 0.000
SG: Fm-3m, No. 225

***

Volume / A^3/atom: 18.53, 10.78
Relative energy among the computed polymorphs / meV/atom: 674, 2062
Uncorrected formation energy / eV/f.u.: 0.58, 11.19